GGA+U KCoO, optimized geometry; V = 21.06 A^3/atom; total DFT energy (no corrections) = -4.497 eV per atom; magnetization = 0.667 μB/atom
1.0
12.250 0.000 0.000
0.000 3.588 0.000
-0.068 0.000 5.750
K Co O
4 4 4
Direct
0.122 0.000 0.250
0.378 0.500 0.750
0.622 0.500 0.250
0.878 0.000 0.750
0.112 0.500 0.749
0.388 0.000 0.251
0.612 0.000 0.749
0.888 0.500 0.251
0.114 0.000 0.750
0.386 0.500 0.250
0.614 0.500 0.750
0.886 0.000 0.250